(1)
Computed, not measured: crystalline CePm5Ge3 at its relaxed geometry at the GGA-PBE level of DFT.

Space-group type: P6_3/mcm, No. 193
Energy relative to the elements, eV/atom: -0.53
Mass density, kg/m³: 7635

abc: 9.175 9.175 6.463
angles: 90.00 90.00 120.00
Fractional coordinates of all 18 atoms:
1 Ce 0.000 0.000 0.000
2 Ce 0.000 0.000 0.500
3 Pm 0.000 0.329 0.250
4 Pm 0.000 0.671 0.750
5 Pm 0.329 0.000 0.250
6 Pm 0.329 0.329 0.750
7 Pm 0.333 0.667 0.000
8 Pm 0.333 0.667 0.500
9 Pm 0.667 0.333 0.000
10 Pm 0.667 0.333 0.500
11 Pm 0.671 0.000 0.750
12 Pm 0.671 0.671 0.250
13 Ge 0.000 0.336 0.750
14 Ge 0.000 0.664 0.250
15 Ge 0.336 0.000 0.750
16 Ge 0.336 0.336 0.250
17 Ge 0.664 0.000 0.250
18 Ge 0.664 0.664 0.750



(2)
Computed, not measured: crystalline TaInCu2 at its relaxed geometry at the GGA-PBE level of DFT.

Space-group type: P2/m, No. 10
Energy relative to the elements, eV/atom: 0.19
Mass density, kg/m³: 10589

abc: 2.831 4.221 5.576
angles: 90.00 95.57 90.00
Fractional coordinates of all 4 atoms:
1 Ta 0.000 0.000 0.000
2 In 0.500 0.000 0.500
3 Cu 0.421 0.500 0.783
4 Cu 0.579 0.500 0.217



(3)
Computed, not measured: crystalline CsLiPbI4 at its relaxed geometry at the GGA-PBE level of DFT.

Formation energy without anion corrections, meV per atom: -1043
Space-group type: P2_1/m, No. 11
Mass density, kg/m³: 4524

abc: 7.709 8.262 10.444
angles: 90.00 109.39 90.00
Fractional coordinates of all 14 atoms:
1 Cs 0.243 0.250 0.053
2 Cs 0.757 0.750 0.947
3 Li 0.230 0.750 0.330
4 Li 0.770 0.250 0.670
5 Pb 0.217 0.250 0.547
6 Pb 0.783 0.750 0.453
7 I 0.016 0.505 0.709
8 I 0.016 0.995 0.709
9 I 0.434 0.750 0.161
10 I 0.467 0.750 0.584
11 I 0.533 0.250 0.416
12 I 0.566 0.250 0.839
13 I 0.984 0.005 0.291
14 I 0.984 0.495 0.291



(4)
Computed, not measured: crystalline LiMg2GaAu at its relaxed geometry at the GGA-PBE level of DFT.

Space-group type: P4/mmm, No. 123
Energy relative to the elements, eV/atom: 0.23
Mass density, kg/m³: 5298

abc: 4.773 4.773 4.434
angles: 90.00 90.00 90.00
Fractional coordinates of all 5 atoms:
1 Li 0.000 0.000 0.000
2 Mg 0.000 0.500 0.000
3 Mg 0.500 0.000 0.000
4 Ga 0.000 0.000 0.500
5 Au 0.500 0.500 0.500